# GGA-PBE La8Al7GaO24, optimized geometry
data_La8Al7GaO24
_cell_length_a 7.647
_cell_length_b 7.647
_cell_length_c 7.647
_cell_angle_alpha 90.00
_cell_angle_beta 90.00
_cell_angle_gamma 90.00
_space_group_name_H-M_alt 'P m -3 m'
_space_group_IT_number 221
_space_group_name_Hall '-P 4 2 3'
loop_
_atom_site_label
_atom_site_type_symbol
_atom_site_fract_x
_atom_site_fract_y
_atom_site_fract_z
La1 La 0.249 0.249 0.249
Al1 Al 0.000 0.000 0.000
Al2 Al 0.000 0.000 0.500
Al3 Al 0.000 0.500 0.500
Ga1 Ga 0.500 0.500 0.500
O1 O 0.000 0.000 0.250
O2 O 0.000 0.249 0.500
O3 O 0.244 0.500 0.500
# * magnetic moment: 0.0 μB/cell
# * ΔE_f (raw): -3213 meV per atom
# * V: 11.2 Å³/atom
# * theoretical density: 6.5 g cm⁻³
# * crystal system: cubic
# * energy: -316.160 eV per formula unit

# GGA-PBE ZrInBr2, optimized geometry
data_ZrInBr2
_cell_length_a 7.508
_cell_length_b 7.508
_cell_length_c 7.508
_cell_angle_alpha 90.00
_cell_angle_beta 90.00
_cell_angle_gamma 90.00
_space_group_name_H-M_alt 'F -4 3 m'
_space_group_IT_number 216
_space_group_name_Hall 'F -4 2 3'
loop_
_atom_site_label
_atom_site_type_symbol
_atom_site_fract_x
_atom_site_fract_y
_atom_site_fract_z
Zr1 Zr 0.000 0.000 0.000
In1 In 0.250 0.250 0.750
Br1 Br 0.000 0.000 0.500
Br2 Br 0.250 0.250 0.250
# * magnetic moment: 10.7 μB/cell
# * ΔE_f (raw): 120 meV per atom
# * V: 26.5 Å³/atom
# * theoretical density: 5.7 g cm⁻³
# * crystal system: cubic
# * energy above the lowest structure with this stoichiometry: 881 meV per atom
# * energy: -14.152 eV per formula unit

# GGA-PBE LaIn3Ir, optimized geometry
data_LaIn3Ir
_cell_length_a 9.202
_cell_length_b 4.503
_cell_length_c 11.834
_cell_angle_alpha 90.00
_cell_angle_beta 90.00
_cell_angle_gamma 90.00
_space_group_name_H-M_alt 'P n m a'
_space_group_IT_number 62
loop_
_space_group_symop_operation_xyz
'x,y,z'
'-x,-y,-z'
'-x+1/2,-y,z+1/2'
'x+1/2,y,-z+1/2'
'x+1/2,-y+1/2,-z+1/2'
'-x+1/2,y+1/2,z+1/2'
'-x,y+1/2,-z'
'x,-y+1/2,z'
loop_
_atom_site_label
_atom_site_type_symbol
_atom_site_fract_x
_atom_site_fract_y
_atom_site_fract_z
La1 La 0.206 0.250 0.003
In1 In 0.053 0.250 0.588
In2 In 0.097 0.750 0.794
In3 In 0.152 0.750 0.211
Ir1 Ir 0.123 0.250 0.360
# * magnetic moment: 0.0 μB/cell
# * formation energy from the elements: -0.459 eV/atom
# * V: 24.5 Å³/atom
# * theoretical density: 9.2 g cm⁻³
# * crystal system: orthorhombic
# * energy above the lowest structure with this stoichiometry: 0 meV per atom
# * energy: -24.299 eV per formula unit

# GGA-PBE TbCePmNd2, optimized geometry
data_TbCePmNd2
_cell_length_a 6.050
_cell_length_b 7.647
_cell_length_c 7.333
_cell_angle_alpha 90.00
_cell_angle_beta 90.00
_cell_angle_gamma 90.00
_space_group_name_H-M_alt 'P m m a'
_space_group_IT_number 51
loop_
_space_group_symop_operation_xyz
'x,y,z'
'-x,-y,-z'
'-x+1/2,-y,z'
'x+1/2,y,-z'
'x+1/2,-y,-z'
'-x+1/2,y,z'
'-x,y,-z'
'x,-y,z'
loop_
_atom_site_label
_atom_site_type_symbol
_atom_site_fract_x
_atom_site_fract_y
_atom_site_fract_z
Tb1 Tb 0.250 0.000 0.114
Ce1 Ce 0.000 0.000 0.500
Pm1 Pm 0.250 0.500 0.343
Nd1 Nd 0.250 0.288 0.816
# * magnetic moment: 2.9 μB/cell
# * formation energy from the elements: 0.267 eV/atom
# * V: 33.9 Å³/atom
# * theoretical density: 7.2 g cm⁻³
# * crystal system: orthorhombic
# * energy: -23.517 eV per formula unit